Entry 1:
Entry from the Alexandria database: an optimized crystal structure of CaTa2Br (PBE).

## Properties
- formation energy from raw total energies (meV per atom) = 143
- symmetry = Cmm2
- DOS at the Fermi energy (states/eV per cell) = 3.5

Cell: 3.2516 3.2516 9.7290 Å, 90.00 90.00 105.47°
Positions (direct):
Ca 0.5000 0.5000 0.7445
Br 0.0000 0.0000 0.5444
Ta 0.0000 0.0000 0.0157
Ta 0.5000 0.5000 0.1954

***

Entry 2:
Entry from the Alexandria database: an optimized crystal structure of CaTaBr (PBE).

## Properties
- formation energy from raw total energies (meV per atom) = 246
- symmetry = Fmm2
- DOS at the Fermi energy (states/eV per cell) = 3.1

Cell: 7.2180 7.0741 3.2245 Å, 79.47 74.48 26.05°
Positions (direct):
Ca 0.3350 0.3350 0.6650
Br 0.0076 0.0076 0.9924
Ta 0.6573 0.6573 0.3427

***

Entry 3:
Entry from the Alexandria database: an optimized crystal structure of CaTaBr3 (PBE).

## Properties
- formation energy from raw total energies (meV per atom) = -196
- symmetry = Pm-3m
- DOS at the Fermi energy (states/eV per cell) = 4.8

Cell: 5.2581 5.2581 5.2581 Å, 90.00 90.00 90.00°
Positions (direct):
Ca 0.5000 0.5000 0.5000
Ta 0.0000 0.0000 0.0000
Br 0.0000 0.5000 0.0000
Br 0.0000 0.0000 0.5000
Br 0.5000 0.0000 0.0000

***

Entry 4:
Entry from the Alexandria database: an optimized crystal structure of CaTa2Br (PBE).

## Properties
- formation energy from raw total energies (meV per atom) = 727
- symmetry = Pmmm
- DOS at the Fermi energy (states/eV per cell) = 2.9

Cell: 3.1390 5.4377 5.4467 Å, 90.00 90.00 90.00°
Positions (direct):
Ca 0.5000 0.5000 0.7500
Br 0.5000 0.5000 0.2500
Ta 0.0000 0.0000 0.9817
Ta 0.0000 0.0000 0.5183

***

Entry 5:
Entry from the Alexandria database: an optimized crystal structure of CaTa2Br (PBE).

## Properties
- formation energy from raw total energies (meV per atom) = 347
- symmetry = Immm
- DOS at the Fermi energy (states/eV per cell) = 4.1

Cell: 6.5935 6.5935 6.5935 Å, 151.69 139.24 50.37°
Positions (direct):
Ca 0.7500 0.2500 0.5000
Br 0.2500 0.7500 0.5000
Ta 0.0198 0.0198 0.0000
Ta 0.4802 0.4802 0.0000

***

Entry 6:
Entry from the Alexandria database: an optimized crystal structure of Ca2TaBr (PBE).

## Properties
- formation energy from raw total energies (meV per atom) = 531
- symmetry = I-42d
- DOS at the Fermi energy (states/eV per cell) = 6.4

Cell: 8.2952 8.2952 6.8522 Å, 52.75 52.75 90.00°
Positions (direct):
Ca 0.5931 0.1250 0.2500
Ca 0.1569 0.6250 0.2500
Ca 0.3750 0.4069 0.7500
Ca 0.8750 0.8431 0.7500
Br 0.5000 0.5000 0.0000
Br 0.2500 0.7500 0.5000
Ta 0.0000 0.0000 0.0000
Ta 0.7500 0.2500 0.5000

***

Entry 7:
Entry from the Alexandria database: an optimized crystal structure of Ca2TaBr (PBE).

## Properties
- formation energy from raw total energies (meV per atom) = -150
- symmetry = R-3m
- DOS at the Fermi energy (states/eV per cell) = 2.1

Cell: 3.5117 3.5117 9.8198 Å, 79.71 79.71 59.96°
Positions (direct):
Ca 0.9971 0.9971 0.0083
Ca 0.5029 0.5029 0.4917
Br 0.2500 0.2500 0.2500
Ta 0.7500 0.7500 0.7500

***

Entry 8:
Entry from the Alexandria database: an optimized crystal structure of CaTaBr (PBE).

## Properties
- formation energy from raw total energies (meV per atom) = -459
- symmetry = Pm
- DOS at the Fermi energy (states/eV per cell) = 5.4

Cell: 3.5486 3.6011 12.3501 Å, 90.00 97.63 90.00°
Positions (direct):
Ca 0.2337 0.0000 0.9359
Ca 0.0217 0.5000 0.5563
Br 0.6674 0.5000 0.7895
Br 0.7934 0.5000 0.0660
Ta 0.9000 0.5000 0.2940
Ta 0.4401 0.0000 0.3806

***

Entry 9:
Entry from the Alexandria database: an optimized crystal structure of CaTa2Br (PBE).

## Properties
- formation energy from raw total energies (meV per atom) = 1493
- symmetry = Fm-3m
- DOS at the Fermi energy (states/eV per cell) = 6.5

Cell: 4.9490 4.9490 4.9490 Å, 60.00 60.00 60.00°
Positions (direct):
Ca 0.0000 0.0000 0.0000
Br 0.5000 0.5000 0.5000
Ta 0.2500 0.2500 0.2500
Ta 0.7500 0.7500 0.7500

***

Entry 10:
Entry from the Alexandria database: an optimized crystal structure of Ca2TaBr (PBE).

## Properties
- formation energy from raw total energies (meV per atom) = 470
- symmetry = I-4m2
- DOS at the Fermi energy (states/eV per cell) = 2.7

Cell: 6.6552 6.6553 6.6556 Å, 140.97 140.97 56.38°
Positions (direct):
Ca 0.0000 0.0000 0.0000
Ca 0.2500 0.7500 0.5000
Br 0.7500 0.2500 0.5000
Ta 0.5000 0.5000 0.0000

***

Entry 11:
Entry from the Alexandria database: an optimized crystal structure of Ca2TaBr (PBE).

## Properties
- formation energy from raw total energies (meV per atom) = 186
- symmetry = Imm2
- DOS at the Fermi energy (states/eV per cell) = 4.8

Cell: 6.5939 6.5939 6.5939 Å, 151.22 129.49 59.18°
Positions (direct):
Ca 0.0313 0.0313 0.0000
Ca 0.7253 0.2253 0.5000
Br 0.2738 0.7738 0.5000
Ta 0.4695 0.4695 0.0000

***

Entry 12:
Entry from the Alexandria database: an optimized crystal structure of Ca2TaBr (PBE).

## Properties
- formation energy from raw total energies (meV per atom) = 571
- symmetry = I4/mmm
- DOS at the Fermi energy (states/eV per cell) = 3.4

Cell: 5.7365 5.7365 5.7365 Å, 126.96 126.96 78.31°
Positions (direct):
Ca 0.0000 0.0000 0.0000
Ca 0.5000 0.5000 0.0000
Br 0.2500 0.7500 0.5000
Ta 0.7500 0.2500 0.5000

***

Entry 13:
Entry from the Alexandria database: an optimized crystal structure of CaTa2Br (PBE).

## Properties
- formation energy from raw total energies (meV per atom) = 651
- symmetry = R-3m
- DOS at the Fermi energy (states/eV per cell) = 3.4

Cell: 10.1964 10.1964 10.1964 Å, 17.61 17.61 17.61°
Positions (direct):
Ca 0.7500 0.7500 0.7500
Br 0.2500 0.2500 0.2500
Ta 0.9905 0.9905 0.9905
Ta 0.5095 0.5095 0.5095

***

Entry 14:
Entry from the Alexandria database: an optimized crystal structure of CaTaBr (PBE).

## Properties
- formation energy from raw total energies (meV per atom) = -508
- symmetry = Immm
- DOS at the Fermi energy (states/eV per cell) = 6.1

Cell: 4.0283 3.4799 24.7524 Å, 90.00 90.00 90.00°
Positions (direct):
Ca 0.0000 0.0000 0.1204
Ca 0.0000 0.0000 0.8796
Ca 0.5000 0.5000 0.6204
Ca 0.5000 0.5000 0.3796
Br 0.0000 0.0000 0.3214
Br 0.0000 0.0000 0.6786
Br 0.5000 0.5000 0.8214
Br 0.5000 0.5000 0.1785
Ta 0.0000 0.5000 0.5000
Ta 0.5000 0.0000 0.0000
Ta 0.5000 0.0000 0.5000
Ta 0.0000 0.5000 0.0000

***

Entry 15:
Entry from the Alexandria database: an optimized crystal structure of CaTa2Br (PBE).

## Properties
- formation energy from raw total energies (meV per atom) = 473
- symmetry = I-42d
- DOS at the Fermi energy (states/eV per cell) = 8.9

Cell: 3.8999 3.8999 12.9781 Å, 81.36 81.36 90.00°
Positions (direct):
Ca 0.5000 0.5000 0.0000
Ca 0.2500 0.7500 0.5000
Br 0.0000 0.0000 0.0000
Br 0.7500 0.2500 0.5000
Ta 0.1342 0.1250 0.2500
Ta 0.6158 0.6250 0.2500
Ta 0.3750 0.8658 0.7500
Ta 0.8750 0.3842 0.7500

***

Entry 16:
Entry from the Alexandria database: an optimized crystal structure of CaTaBr (PBE).

## Properties
- formation energy from raw total energies (meV per atom) = 923
- symmetry = F-43m
- DOS at the Fermi energy (states/eV per cell) = 4.4

Cell: 4.6876 4.6876 4.6876 Å, 60.00 60.00 60.00°
Positions (direct):
Ca 0.0000 0.0000 0.0000
Br 0.7500 0.7500 0.7500
Ta 0.5000 0.5000 0.5000

***

Entry 17:
Entry from the Alexandria database: an optimized crystal structure of CaTa2Br (PBE).

## Properties
- formation energy from raw total energies (meV per atom) = 785
- symmetry = Cmmm
- DOS at the Fermi energy (states/eV per cell) = 6.0

Cell: 3.0658 3.0658 10.1678 Å, 90.00 90.00 114.99°
Positions (direct):
Ca 0.5000 0.5000 0.7500
Br 0.5000 0.5000 0.2500
Ta 0.0000 0.0000 0.0241
Ta 0.0000 0.0000 0.4759

***

Entry 18:
Entry from the Alexandria database: an optimized crystal structure of CaTa2Br (PBE).

## Properties
- formation energy from raw total energies (meV per atom) = 610
- symmetry = Imm2
- DOS at the Fermi energy (states/eV per cell) = 4.4

Cell: 6.0658 6.0658 6.0658 Å, 149.51 122.23 66.73°
Positions (direct):
Ca 0.7319 0.2319 0.5000
Br 0.4744 0.4744 0.0000
Ta 0.0417 0.0417 0.0000
Ta 0.2520 0.7520 0.5000

***

Entry 19:
Entry from the Alexandria database: an optimized crystal structure of Ca2TaBr (PBE).

## Properties
- formation energy from raw total energies (meV per atom) = -170
- symmetry = P4/mmm
- DOS at the Fermi energy (states/eV per cell) = 3.4

Cell: 3.3594 3.3594 9.1013 Å, 90.00 90.00 90.00°
Positions (direct):
Ca 0.0000 0.0000 0.9983
Ca 0.0000 0.0000 0.5017
Br 0.5000 0.5000 0.7500
Ta 0.5000 0.5000 0.2500

***

Entry 20:
Entry from the Alexandria database: an optimized crystal structure of CaTaBr (PBE).

## Properties
- formation energy from raw total energies (meV per atom) = -514
- symmetry = Pmmn
- DOS at the Fermi energy (states/eV per cell) = 2.3

Cell: 4.0508 12.2841 3.4547 Å, 90.00 90.00 90.00°
Positions (direct):
Ca 0.0000 0.7405 0.5000
Ca 0.5000 0.2595 0.0000
Br 0.0000 0.1426 0.5000
Br 0.5000 0.8574 0.0000
Ta 0.0000 0.4934 0.0000
Ta 0.5000 0.5066 0.5000

***

Entry 21:
Entry from the Alexandria database: an optimized crystal structure of Ca3TaBr (PBE).

## Properties
- formation energy from raw total energies (meV per atom) = 444
- symmetry = Pm-3m
- DOS at the Fermi energy (states/eV per cell) = 1.6

Cell: 5.4954 5.4954 5.4954 Å, 90.00 90.00 90.00°
Positions (direct):
Ca 0.0000 0.5000 0.0000
Ca 0.0000 0.0000 0.5000
Ca 0.5000 0.0000 0.0000
Br 0.0000 0.0000 0.0000
Ta 0.5000 0.5000 0.5000

***

Entry 22:
Entry from the Alexandria database: an optimized crystal structure of Ca2TaBr (PBE).

## Properties
- formation energy from raw total energies (meV per atom) = 750
- symmetry = F-43m
- DOS at the Fermi energy (states/eV per cell) = 5.1

Cell: 5.4244 5.4244 5.4244 Å, 60.00 60.00 60.00°
Positions (direct):
Ca 0.0000 0.0000 0.0000
Ca 0.2500 0.2500 0.2500
Br 0.5000 0.5000 0.5000
Ta 0.7500 0.7500 0.7500

***

Entry 23:
Entry from the Alexandria database: an optimized crystal structure of CaTaBr (PBE).

## Properties
- formation energy from raw total energies (meV per atom) = -625
- symmetry = P-1
- DOS at the Fermi energy (states/eV per cell) = 3.5

Cell: 3.6427 3.6443 12.7711 Å, 91.15 97.60 90.00°
Positions (direct):
Ca 0.3524 0.7660 0.7202
Ca 0.6476 0.2340 0.2798
Br 0.0911 0.7255 0.1581
Br 0.9089 0.2745 0.8419
Ta 0.2317 0.7472 0.4607
Ta 0.7683 0.2528 0.5393

***

Entry 24:
Entry from the Alexandria database: an optimized crystal structure of CaTa2Br (PBE).

## Properties
- formation energy from raw total energies (meV per atom) = 528
- symmetry = I4/mmm
- DOS at the Fermi energy (states/eV per cell) = 5.0

Cell: 6.7898 6.7898 6.7898 Å, 146.68 146.68 47.84°
Positions (direct):
Ca 0.7500 0.2500 0.5000
Br 0.2500 0.7500 0.5000
Ta 0.0000 0.0000 0.0000
Ta 0.5000 0.5000 0.0000

***

Entry 25:
Entry from the Alexandria database: an optimized crystal structure of CaTaBr (PBE).

## Properties
- formation energy from raw total energies (meV per atom) = 553
- symmetry = P-6m2
- DOS at the Fermi energy (states/eV per cell) = 4.2

Cell: 4.9437 4.9437 3.3045 Å, 90.00 90.00 120.00°
Positions (direct):
Ca 0.6667 0.3333 0.3331
Br 0.0000 0.0000 0.8335
Ta 0.3333 0.6667 0.8334

***

Entry 26:
Entry from the Alexandria database: an optimized crystal structure of Ca2ZrTaBr (PBE).

## Properties
- formation energy from raw total energies (meV per atom) = 657
- symmetry = P4/mmm
- DOS at the Fermi energy (states/eV per cell) = 6.9

Cell: 5.9617 4.9336 5.9617 Å, 90.00 90.00 90.00°
Positions (direct):
Ca 0.0000 0.0000 0.5000
Ca 0.5000 0.0000 0.0000
Br 0.5000 0.5000 0.5000
Zr 0.0000 0.5000 0.0000
Ta 0.0000 0.0000 0.0000

***

Entry 27:
Entry from the Alexandria database: an optimized crystal structure of CaTbBr2 (PBE).

## Properties
- formation energy from raw total energies (meV per atom) = -1116
- symmetry = R-3m
- DOS at the Fermi energy (states/eV per cell) = 3.4

Cell: 3.7812 3.7812 10.4393 Å, 79.57 79.57 60.00°
Positions (direct):
Ca 0.0000 0.0000 0.0000
Tb 0.5000 0.5000 0.5000
Br 0.1004 0.1004 0.6989
Br 0.8996 0.8996 0.3011

***

Entry 28:
Entry from the Alexandria database: an optimized crystal structure of CaTb2Br (PBE).

## Properties
- formation energy from raw total energies (meV per atom) = -274
- symmetry = R-3m
- DOS at the Fermi energy (states/eV per cell) = 6.2

Cell: 3.5691 3.5691 11.7172 Å, 81.24 81.24 60.00°
Positions (direct):
Ca 0.0000 0.0000 0.0000
Tb 0.0985 0.0985 0.7044
Tb 0.9015 0.9015 0.2956
Br 0.5000 0.5000 0.5000

***

Entry 29:
Entry from the Alexandria database: an optimized crystal structure of CaTcBr (PBE).

## Properties
- formation energy from raw total energies (meV per atom) = 301
- symmetry = Fmm2
- DOS at the Fermi energy (states/eV per cell) = 2.2

Cell: 6.6381 6.6367 3.3465 Å, 75.42 75.38 29.20°
Positions (direct):
Ca 0.3357 0.3357 0.6643
Tc 0.6657 0.6657 0.3343
Br 0.9986 0.9986 0.0014